*one*
! BaCu2Os (PBE, optimized geometry); values from VASP
! DOS at the Fermi energy   0.878 states/eV per atom
&SYSTEM
  ibrav = 0, nat = 4, ntyp = 3
/
ATOMIC_SPECIES
Os 190.23 Os.upf
Cu 63.55 Cu.upf
Ba 137.33 Ba.upf
ATOMIC_POSITIONS angstrom
Os 3.043 0.697 -0.256
Cu 2.114 0.049 2.069
Cu 0.597 0.137 -0.050
Ba 5.654 0.860 1.771
CELL_PARAMETERS angstrom
-0.192 1.809 2.647
0.737 -2.556 1.800
7.242 1.659 -0.609

*two*
! BaCu2Os (PBE, optimized geometry); values from VASP
! DOS at the Fermi energy   1.062 states/eV per atom
&SYSTEM
  ibrav = 0, nat = 4, ntyp = 3
/
ATOMIC_SPECIES
Cu 63.55 Cu.upf
Ba 137.33 Ba.upf
Os 190.23 Os.upf
ATOMIC_POSITIONS angstrom
Cu 1.989 1.008 4.641
Cu 4.236 2.146 4.118
Ba 2.143 1.086 1.536
Os 6.429 3.257 4.608
CELL_PARAMETERS angstrom
4.290 -0.240 0.229
2.344 3.601 0.229
1.939 0.982 5.686

*three*
! BaCu2Os (PBE, optimized geometry); values from VASP
! DOS at the Fermi energy   0.868 states/eV per atom
&SYSTEM
  ibrav = 0, nat = 4, ntyp = 3
/
ATOMIC_SPECIES
Cu 63.55 Cu.upf
Ba 137.33 Ba.upf
Os 190.23 Os.upf
ATOMIC_POSITIONS angstrom
Cu 0.096 -3.937 -1.687
Cu 0.152 -6.260 -2.682
Ba 1.539 -2.270 0.688
Os -2.013 -2.536 1.107
CELL_PARAMETERS angstrom
-3.469 -3.666 -1.037
3.635 -3.133 -1.876
-0.640 1.992 4.708

*four*
! BaCu2Os (PBE, optimized geometry); values from VASP
! DOS at the Fermi energy   0.582 states/eV per atom
&SYSTEM
  ibrav = 0, nat = 4, ntyp = 3
/
ATOMIC_SPECIES
Os 190.23 Os.upf
Cu 63.55 Cu.upf
Ba 137.33 Ba.upf
ATOMIC_POSITIONS angstrom
Os 3.780 2.464 0.000
Cu 0.000 0.000 0.000
Cu 1.090 2.458 1.464
Ba 2.689 0.005 1.464
CELL_PARAMETERS angstrom
5.378 0.011 0.000
2.181 4.916 0.000
-3.780 -2.464 2.928

Most stable pick: *two*. Distance to second place: 368 meV per atom.

*one*
! BaCu6P4 (PBE, optimized geometry); values from VASP
! DOS at the Fermi energy   0.385 states/eV per atom
&SYSTEM
  ibrav = 0, nat = 11, ntyp = 3
/
ATOMIC_SPECIES
Cu 63.55 Cu.upf
P 30.97 P.upf
Ba 137.33 Ba.upf
ATOMIC_POSITIONS angstrom
Cu 0.039 -2.258 2.900
Cu 2.347 -3.604 7.703
Cu 2.349 -0.923 8.454
Cu 0.041 0.423 3.651
Cu 1.195 -0.250 6.053
Cu 1.193 -2.931 5.302
P 1.893 -1.105 3.940
P 4.130 -2.410 8.596
P 0.494 -2.076 7.414
P -1.743 -0.771 2.758
Ba 0.000 0.000 0.000
CELL_PARAMETERS angstrom
-2.525 2.368 1.877
-2.529 -2.994 0.376
7.441 -2.555 9.102

*two*
! BaCu6P4 (PBE, optimized geometry); values from VASP
! DOS at the Fermi energy   0.545 states/eV per atom
&SYSTEM
  ibrav = 0, nat = 11, ntyp = 3
/
ATOMIC_SPECIES
P 30.97 P.upf
Cu 63.55 Cu.upf
Ba 137.33 Ba.upf
ATOMIC_POSITIONS angstrom
P 1.324 -1.519 2.751
P 4.130 0.622 3.980
P 0.548 2.065 2.224
P 3.349 0.555 0.326
Cu -1.442 2.849 1.233
Cu 4.992 -0.099 1.885
Cu 2.320 0.621 2.469
Cu 0.813 3.202 -0.232
Cu -1.696 0.631 2.773
Cu 3.481 -1.648 3.695
Ba 0.000 0.000 0.000
CELL_PARAMETERS angstrom
-4.295 4.537 0.295
0.902 -3.274 5.251
5.920 1.867 -0.759

Most stable pick: *one*. Distance to second place: 187 meV per atom.

*one*
! Ba2Cu2P (PBE, optimized geometry); values from VASP
! DOS at the Fermi energy   0.879 states/eV per atom
&SYSTEM
  ibrav = 0, nat = 5, ntyp = 3
/
ATOMIC_SPECIES
Ba 137.33 Ba.upf
P 30.97 P.upf
Cu 63.55 Cu.upf
ATOMIC_POSITIONS angstrom
Ba 6.224 3.112 1.748
Ba 3.112 6.224 1.748
P 0.000 0.000 0.000
Cu 6.224 6.224 2.322
Cu 3.112 3.112 1.175
CELL_PARAMETERS angstrom
6.224 0.000 0.000
0.000 6.224 0.000
3.112 3.112 3.496

*two*
! Ba2Cu2P (PBE, optimized geometry); values from VASP
! DOS at the Fermi energy   0.581 states/eV per atom
&SYSTEM
  ibrav = 0, nat = 10, ntyp = 3
/
ATOMIC_SPECIES
Ba 137.33 Ba.upf
Cu 63.55 Cu.upf
P 30.97 P.upf
ATOMIC_POSITIONS angstrom
Ba 5.243 6.087 2.280
Ba 6.087 2.310 2.280
Ba 1.466 5.243 2.280
Ba 2.310 1.466 2.280
Cu 2.934 6.710 0.000
Cu 6.710 4.619 0.000
Cu 4.619 0.843 0.000
Cu 0.843 2.934 0.000
P 0.000 0.000 0.000
P 3.776 3.776 0.000
CELL_PARAMETERS angstrom
7.553 0.000 0.000
0.000 7.553 0.000
0.000 0.000 4.561

Most stable pick: *one*. Distance to second place: 60 meV per atom.

*one*
! BaCu3Pb (PBE, optimized geometry); values from VASP
! DOS at the Fermi energy   0.455 states/eV per atom
&SYSTEM
  ibrav = 0, nat = 5, ntyp = 3
/
ATOMIC_SPECIES
Pb 207.20 Pb.upf
Cu 63.55 Cu.upf
Ba 137.33 Ba.upf
ATOMIC_POSITIONS angstrom
Pb -3.844 -2.724 0.733
Cu -0.116 -2.160 1.702
Cu -2.419 0.891 0.966
Cu -1.309 -1.455 -1.935
Ba 0.000 0.000 0.000
CELL_PARAMETERS angstrom
-2.618 -2.910 -3.871
-0.232 -4.320 3.404
-4.837 1.782 1.932

*two*
! BaCu3Pb (PBE, optimized geometry); values from VASP
! DOS at the Fermi energy   0.613 states/eV per atom
&SYSTEM
  ibrav = 0, nat = 5, ntyp = 3
/
ATOMIC_SPECIES
Cu 63.55 Cu.upf
Pb 207.20 Pb.upf
Ba 137.33 Ba.upf
ATOMIC_POSITIONS angstrom
Cu 0.000 2.553 0.000
Cu 0.000 0.000 2.553
Cu 2.553 0.000 0.000
Pb 0.000 0.000 0.000
Ba 2.553 2.553 2.553
CELL_PARAMETERS angstrom
5.106 0.000 0.000
0.000 5.106 0.000
0.000 0.000 5.106

Most stable pick: *two*. Distance to second place: 910 meV per atom.

*one*
! Ba2CuPd2 (PBE, optimized geometry); values from VASP
! DOS at the Fermi energy   0.723 states/eV per atom
&SYSTEM
  ibrav = 0, nat = 10, ntyp = 3
/
ATOMIC_SPECIES
Pd 106.42 Pd.upf
Ba 137.33 Ba.upf
Cu 63.55 Cu.upf
ATOMIC_POSITIONS angstrom
Pd 1.660 2.824 7.722
Pd 1.513 -0.590 2.611
Pd 3.440 -0.947 6.492
Pd -0.267 3.181 3.842
Ba 4.603 2.117 6.972
Ba 4.628 -0.270 3.689
Ba 2.154 4.726 5.056
Ba 2.178 2.339 1.773
Cu 0.000 0.000 0.000
Cu 1.586 1.117 5.167
CELL_PARAMETERS angstrom
-1.342 5.793 5.055
4.515 -3.560 5.278
3.609 2.222 -1.588

*two*
! Ba2CuPd2 (PBE, optimized geometry); values from VASP
! DOS at the Fermi energy   0.699 states/eV per atom
&SYSTEM
  ibrav = 0, nat = 5, ntyp = 3
/
ATOMIC_SPECIES
Ba 137.33 Ba.upf
Pd 106.42 Pd.upf
Cu 63.55 Cu.upf
ATOMIC_POSITIONS angstrom
Ba 1.990 1.990 2.052
Ba 3.980 3.980 6.985
Pd 1.990 3.980 4.518
Pd 3.980 1.990 4.518
Cu 0.000 0.000 0.000
CELL_PARAMETERS angstrom
3.980 0.000 0.000
0.000 3.980 0.000
1.990 1.990 9.037

Most stable pick: *one*. Distance to second place: 103 meV per atom.

*one*
! Ba2CuPd2 (PBE, optimized geometry); values from VASP
! DOS at the Fermi energy   0.467 states/eV per atom
&SYSTEM
  ibrav = 0, nat = 5, ntyp = 3
/
ATOMIC_SPECIES
Pd 106.42 Pd.upf
Ba 137.33 Ba.upf
Cu 63.55 Cu.upf
ATOMIC_POSITIONS angstrom
Pd 6.087 6.087 2.553
Pd 3.044 3.044 1.340
Ba 6.087 3.044 1.946
Ba 3.044 6.087 1.946
Cu 0.000 0.000 0.000
CELL_PARAMETERS angstrom
6.087 0.000 0.000
0.000 6.087 0.000
3.044 3.044 3.893

*two*
! Ba2CuPd2 (PBE, optimized geometry); values from VASP
! DOS at the Fermi energy   0.336 states/eV per atom
&SYSTEM
  ibrav = 0, nat = 5, ntyp = 3
/
ATOMIC_SPECIES
Ba 137.33 Ba.upf
Cu 63.55 Cu.upf
Pd 106.42 Pd.upf
ATOMIC_POSITIONS angstrom
Ba 0.086 3.447 0.226
Ba 3.123 1.433 1.643
Cu 0.000 0.000 0.000
Pd 1.439 3.901 -2.807
Pd 1.953 1.224 -1.449
CELL_PARAMETERS angstrom
4.376 0.000 -1.656
-0.984 5.124 -2.600
-0.184 -0.244 6.125

Most stable pick: *two*. Distance to second place: 150 meV per atom.

*one*
! Ba2Cu2Pd (PBE, optimized geometry); values from VASP
! DOS at the Fermi energy   0.438 states/eV per atom
&SYSTEM
  ibrav = 0, nat = 10, ntyp = 3
/
ATOMIC_SPECIES
Pd 106.42 Pd.upf
Ba 137.33 Ba.upf
Cu 63.55 Cu.upf
ATOMIC_POSITIONS angstrom
Pd 3.898 3.898 0.000
Pd 0.000 0.000 0.000
Ba 1.465 5.363 2.235
Ba 6.331 2.433 2.235
Ba 2.433 1.465 2.235
Ba 5.363 6.331 2.235
Cu 0.875 3.023 0.000
Cu 6.921 4.772 0.000
Cu 4.772 0.875 0.000
Cu 3.023 6.921 0.000
CELL_PARAMETERS angstrom
7.796 0.000 0.000
0.000 7.796 0.000
0.000 0.000 4.470

*two*
! Ba2Cu2Pd (PBE, optimized geometry); values from VASP
! DOS at the Fermi energy   0.128 states/eV per atom
&SYSTEM
  ibrav = 0, nat = 10, ntyp = 3
/
ATOMIC_SPECIES
Ba 137.33 Ba.upf
Pd 106.42 Pd.upf
Cu 63.55 Cu.upf
ATOMIC_POSITIONS angstrom
Ba 5.992 1.641 0.000
Ba 2.711 7.063 0.000
Ba 7.063 5.992 0.000
Ba 1.641 2.711 0.000
Pd 0.000 0.000 0.000
Pd 4.352 4.352 0.000
Cu 5.217 7.838 2.016
Cu 0.866 5.217 2.016
Cu 3.486 0.866 2.016
Cu 7.838 3.486 2.016
CELL_PARAMETERS angstrom
8.704 0.000 0.000
0.000 8.704 0.000
0.000 0.000 4.033

Most stable pick: *one*. Distance to second place: 201 meV per atom.

*one*
! Ba2Cu2Pd (PBE, optimized geometry); values from VASP
! DOS at the Fermi energy   0.691 states/eV per atom
&SYSTEM
  ibrav = 0, nat = 5, ntyp = 3
/
ATOMIC_SPECIES
Pd 106.42 Pd.upf
Cu 63.55 Cu.upf
Ba 137.33 Ba.upf
ATOMIC_POSITIONS angstrom
Pd 0.000 0.000 0.000
Cu -6.946 -4.436 -3.781
Cu -3.495 -2.117 -1.897
Ba -4.224 -3.194 -4.767
Ba -6.218 -3.358 -0.911
CELL_PARAMETERS angstrom
-5.742 -1.115 1.877
-1.754 -0.787 -5.834
-2.946 -4.650 -1.721

*two*
! Ba2Cu2Pd (PBE, optimized geometry); values from VASP
! DOS at the Fermi energy   0.370 states/eV per atom
&SYSTEM
  ibrav = 0, nat = 5, ntyp = 3
/
ATOMIC_SPECIES
Ba 137.33 Ba.upf
Cu 63.55 Cu.upf
Pd 106.42 Pd.upf
ATOMIC_POSITIONS angstrom
Ba -2.384 0.203 -2.284
Ba -8.222 -0.080 -4.070
Cu -5.160 -1.226 -3.440
Cu -5.446 1.349 -2.913
Pd 0.000 0.000 0.000
CELL_PARAMETERS angstrom
-0.723 3.052 -2.037
-0.151 -2.099 -3.092
-9.733 -0.830 -1.225

*three*
! Ba2Cu2Pd (PBE, optimized geometry); values from VASP
! DOS at the Fermi energy   0.479 states/eV per atom
&SYSTEM
  ibrav = 0, nat = 10, ntyp = 3
/
ATOMIC_SPECIES
Cu 63.55 Cu.upf
Pd 106.42 Pd.upf
Ba 137.33 Ba.upf
ATOMIC_POSITIONS angstrom
Cu 5.855 4.053 5.712
Cu 1.053 2.327 6.612
Cu 4.901 5.813 10.741
Cu 2.007 0.566 1.583
Pd 3.810 4.965 4.288
Pd 3.098 1.415 8.036
Ba 4.918 2.198 10.639
Ba 1.990 4.182 1.685
Ba 3.178 4.841 7.640
Ba 3.730 1.538 4.684
CELL_PARAMETERS angstrom
4.461 0.005 0.837
2.196 5.917 0.583
0.251 0.458 10.903

Most stable pick: *three*. Distance to second place: 155 meV per atom.

*one*
! BaCu2Pd2 (PBE, optimized geometry); values from VASP
! DOS at the Fermi energy   0.468 states/eV per atom
&SYSTEM
  ibrav = 0, nat = 10, ntyp = 3
/
ATOMIC_SPECIES
Cu 63.55 Cu.upf
Pd 106.42 Pd.upf
Ba 137.33 Ba.upf
ATOMIC_POSITIONS angstrom
Cu -5.680 4.495 0.492
Cu -5.035 -0.855 -1.857
Cu -7.849 2.185 -2.198
Cu -2.866 1.455 0.833
Pd -2.538 0.181 -1.643
Pd -2.934 4.068 0.112
Pd -6.178 0.792 -3.817
Pd -6.575 4.679 -2.062
Ba 0.000 0.000 0.000
Ba -4.556 2.430 -1.852
CELL_PARAMETERS angstrom
-3.447 6.845 1.210
-5.666 -1.984 -4.915
-1.602 -1.220 2.340

*two*
! BaCu2Pd2 (PBE, optimized geometry); values from VASP
! DOS at the Fermi energy   0.658 states/eV per atom
&SYSTEM
  ibrav = 0, nat = 5, ntyp = 3
/
ATOMIC_SPECIES
Cu 63.55 Cu.upf
Pd 106.42 Pd.upf
Ba 137.33 Ba.upf
ATOMIC_POSITIONS angstrom
Cu 2.189 4.378 2.699
Cu 4.378 2.189 2.699
Pd 4.378 4.378 4.042
Pd 2.189 2.189 1.355
Ba 0.000 0.000 0.000
CELL_PARAMETERS angstrom
4.378 0.000 0.000
0.000 4.378 0.000
2.189 2.189 5.397

*three*
! BaCu2Pd2 (PBE, optimized geometry); values from VASP
! DOS at the Fermi energy   0.257 states/eV per atom
&SYSTEM
  ibrav = 0, nat = 5, ntyp = 3
/
ATOMIC_SPECIES
Ba 137.33 Ba.upf
Cu 63.55 Cu.upf
Pd 106.42 Pd.upf
ATOMIC_POSITIONS angstrom
Ba 0.000 0.000 0.000
Cu 4.426 4.426 3.922
Cu 2.213 2.213 1.235
Pd 2.213 4.426 2.578
Pd 4.426 2.213 2.578
CELL_PARAMETERS angstrom
4.426 0.000 0.000
0.000 4.426 0.000
2.213 2.213 5.157

Most stable pick: *three*. Distance to second place: 47 meV per atom.

*one*
! BaPmCu (PBE, optimized geometry); values from VASP
! DOS at the Fermi energy   1.128 states/eV per atom
&SYSTEM
  ibrav = 0, nat = 12, ntyp = 3
/
ATOMIC_SPECIES
Ba 137.33 Ba.upf
Pm 145.00 Pm.upf
Cu 63.55 Cu.upf
ATOMIC_POSITIONS angstrom
Ba 4.320 -6.534 2.393
Ba -1.312 -4.921 6.440
Ba 1.644 -7.668 5.118
Ba 0.824 -6.549 9.382
Pm 0.118 -2.830 1.834
Pm 7.324 -6.725 4.815
Pm 4.755 -8.383 7.295
Pm 2.139 -3.894 5.040
Cu -0.042 -5.281 3.485
Cu 4.500 -5.986 5.578
Cu 1.448 -3.733 7.913
Cu 7.601 -6.939 1.877
CELL_PARAMETERS angstrom
-5.129 -3.357 4.941
5.872 -5.700 -2.219
4.050 -2.167 6.394

*two*
! BaPmCu (PBE, optimized geometry); values from VASP
! DOS at the Fermi energy   1.180 states/eV per atom
&SYSTEM
  ibrav = 0, nat = 3, ntyp = 3
/
ATOMIC_SPECIES
Ba 137.33 Ba.upf
Cu 63.55 Cu.upf
Pm 145.00 Pm.upf
ATOMIC_POSITIONS angstrom
Ba 0.000 0.000 0.350
Cu 1.902 1.902 2.606
Pm 0.000 0.000 3.909
CELL_PARAMETERS angstrom
3.803 0.000 0.000
0.000 3.803 0.000
-1.902 -1.902 6.865

Most stable pick: *two*. Distance to second place: 59 meV per atom.

*one*
! BaPr2Cu (PBE, optimized geometry); values from VASP
! DOS at the Fermi energy   1.841 states/eV per atom
&SYSTEM
  ibrav = 0, nat = 4, ntyp = 3
/
ATOMIC_SPECIES
Pr 140.91 Pr.upf
Cu 63.55 Cu.upf
Ba 137.33 Ba.upf
ATOMIC_POSITIONS angstrom
Pr 5.911 3.413 3.753
Pr 1.970 1.138 7.407
Cu 3.941 2.275 5.580
Ba 0.000 0.000 0.000
CELL_PARAMETERS angstrom
3.941 0.000 0.000
1.970 3.413 0.000
1.970 1.138 11.160

*two*
! BaPr2Cu (PBE, optimized geometry); values from VASP
! DOS at the Fermi energy   1.476 states/eV per atom
&SYSTEM
  ibrav = 0, nat = 4, ntyp = 3
/
ATOMIC_SPECIES
Pr 140.91 Pr.upf
Cu 63.55 Cu.upf
Ba 137.33 Ba.upf
ATOMIC_POSITIONS angstrom
Pr 0.000 0.000 1.618
Pr 0.000 0.000 8.179
Cu 1.879 1.879 0.000
Ba 1.879 1.879 4.898
CELL_PARAMETERS angstrom
3.758 0.000 0.000
0.000 3.758 0.000
0.000 0.000 9.797

Most stable pick: *two*. Distance to second place: 168 meV per atom.